BaAc2Ru: optimized geometry, GGA-PBE.

The value obtained for the energy relative to the lowest polymorph listed for this composition is 105.3 meV/atom. For the formation enthalpy at 0 K, the calculation gives -6.0 kJ/mol of formula units.

The space group is R-3m (No. 166, hexagonal axes) and the conventional cell measures 4.2602, 4.2602 and 34.2733 Å, with angles of 90.00, 90.00 and 120.00 degrees. Symmetry generates all atoms from Ba at (0.0000, 0.0000, 0.0000), Ac at (0.0000, 0.0000, 0.1199) and Ru at (0.0000, 0.0000, 0.5000).

=====

Na2SiCl: optimized geometry, GGA-PBE.

For the uncorrected formation energy, the calculation gives -93 kJ/mol of formula units. The value obtained for the energy relative to the lowest polymorph listed for this composition is 0.0 meV/atom.

The space group is I-42d (No. 122) and the conventional cell measures 7.533, 7.533 and 7.502 Å, with angles of 90.00, 90.00 and 90.00 degrees. Symmetry generates all atoms from Na at (0.211, 0.250, 0.125), Si at (0.000, 0.000, 0.500) and Cl at (0.000, 0.000, 0.000).

=====

no.,DFT total energy (eV/atom)
1,-4.8693
2,-2.7183